[1]
An optimized crystal structure of PrTcH. Source: the Alexandria database, functional PBE.

## Properties
**Crystal system**: orthorhombic
**Density of states at the Fermi level**: 0.868 states/eV/atom

The structure in CIF format:
```
data_PrTcH
_chemical_formula_sum 'Pr4 Tc4 H4'
_space_group_name_H-M_alt 'P n m a'
_space_group_IT_number 62
_space_group_name_Hall '-P 2ac 2n'
_cell_length_a 16.869
_cell_length_b 3.527
_cell_length_c 3.529
_cell_angle_alpha 90.00
_cell_angle_beta 90.00
_cell_angle_gamma 90.00
loop_
_atom_site_label
_atom_site_type_symbol
_atom_site_fract_x
_atom_site_fract_y
_atom_site_fract_z
Pr1 Pr 0.159 0.250 0.248
Tc1 Tc 0.000 0.250 0.750
H1 H 0.196 0.750 0.748
```

***

[2]
An optimized crystal structure of PrTc2H7. Source: the Alexandria database, functional PBE.

## Properties
**Crystal system**: orthorhombic
**Density of states at the Fermi level**: 0.479 states/eV/atom

The structure in CIF format:
```
data_PrTc2H7
_chemical_formula_sum 'Pr2 Tc4 H14'
_space_group_name_H-M_alt 'C m m m'
_space_group_IT_number 65
_space_group_name_Hall '-C 2 2'
_cell_length_a 5.377
_cell_length_b 9.097
_cell_length_c 3.566
_cell_angle_alpha 90.00
_cell_angle_beta 90.00
_cell_angle_gamma 90.00
loop_
_atom_site_label
_atom_site_type_symbol
_atom_site_fract_x
_atom_site_fract_y
_atom_site_fract_z
Pr1 Pr 0.000 0.000 0.000
Tc1 Tc 0.000 0.308 0.500
H1 H 0.000 0.347 0.000
H2 H 0.000 0.500 0.500
H3 H 0.181 0.139 0.500
```

***

[3]
An optimized crystal structure of Pr2TcH6. Source: the Alexandria database, functional PBE.

## Properties
**Crystal system**: cubic
**Density of states at the Fermi level**: 0.473 states/eV/atom

The structure in CIF format:
```
data_Pr2TcH6
_chemical_formula_sum 'Pr8 Tc4 H24'
_space_group_name_H-M_alt 'F m -3 m'
_space_group_IT_number 225
_space_group_name_Hall '-F 4 2 3'
_cell_length_a 7.414
_cell_length_b 7.414
_cell_length_c 7.414
_cell_angle_alpha 90.00
_cell_angle_beta 90.00
_cell_angle_gamma 90.00
loop_
_atom_site_label
_atom_site_type_symbol
_atom_site_fract_x
_atom_site_fract_y
_atom_site_fract_z
Pr1 Pr 0.250 0.250 0.250
Tc1 Tc 0.000 0.000 0.000
H1 H 0.000 0.000 0.242
```

***

[4]
An optimized crystal structure of Pr2TcH5. Source: the Alexandria database, functional PBE.

## Properties
**Crystal system**: tetragonal
**Density of states at the Fermi level**: 0.118 states/eV/atom

The structure in CIF format:
```
data_Pr2TcH5
_chemical_formula_sum 'Pr4 Tc2 H10'
_space_group_name_H-M_alt 'I 4 m m'
_space_group_IT_number 107
_space_group_name_Hall 'I 4 -2'
_cell_length_a 5.194
_cell_length_b 5.194
_cell_length_c 7.476
_cell_angle_alpha 90.00
_cell_angle_beta 90.00
_cell_angle_gamma 90.00
loop_
_atom_site_label
_atom_site_type_symbol
_atom_site_fract_x
_atom_site_fract_y
_atom_site_fract_z
Pr1 Pr 0.000 0.500 0.000
Tc1 Tc 0.000 0.000 0.254
H1 H 0.000 0.000 0.494
H2 H 0.244 0.244 0.249
```

***

[5]
An optimized crystal structure of Pr2TeH3. Source: the Alexandria database, functional PBE.

## Properties
**Crystal system**: trigonal
**Density of states at the Fermi level**: 0.495 states/eV/atom

The structure in CIF format:
```
data_Pr2TeH3
_chemical_formula_sum 'Pr2 Te1 H3'
_space_group_name_H-M_alt 'P -3 m 1'
_space_group_IT_number 164
_space_group_name_Hall '-P 3 2"'
_cell_length_a 4.1023
_cell_length_b 4.1023
_cell_length_c 7.1991
_cell_angle_alpha 90.00
_cell_angle_beta 90.00
_cell_angle_gamma 120.00
loop_
_atom_site_label
_atom_site_type_symbol
_atom_site_fract_x
_atom_site_fract_y
_atom_site_fract_z
Pr1 Pr 0.3333 0.6667 0.2936
Te1 Te 0.0000 0.0000 0.0000
H1 H 0.0000 0.0000 0.5000
H2 H 0.3333 0.6667 0.6272
```

***

[6]
An optimized crystal structure of Pr4Te5H2. Source: the Alexandria database, functional PBE.

## Properties
**Crystal system**: monoclinic

The structure in CIF format:
```
data_Pr4Te5H2
_chemical_formula_sum 'Pr8 Te10 H4'
_space_group_name_H-M_alt 'C 1 2/m 1'
_space_group_IT_number 12
_space_group_name_Hall '-C 2y'
_cell_length_a 18.759
_cell_length_b 4.434
_cell_length_c 8.385
_cell_angle_alpha 90.00
_cell_angle_beta 96.94
_cell_angle_gamma 90.00
loop_
_atom_site_label
_atom_site_type_symbol
_atom_site_fract_x
_atom_site_fract_y
_atom_site_fract_z
Pr1 Pr 0.031 0.000 0.251
Pr2 Pr 0.209 0.500 0.220
Te1 Te 0.000 0.500 0.500
Te2 Te 0.137 0.000 0.959
Te3 Te 0.172 0.000 0.466
H1 H 0.082 0.500 0.206
```

***

[7]
An optimized crystal structure of Pr3TeH. Source: the Alexandria database, functional PBE.

## Properties
**Crystal system**: cubic
**Density of states at the Fermi level**: 0.736 states/eV/atom
**ΔE to the lowest computed polymorph**: 51 meV/atom

The structure in CIF format:
```
data_Pr3TeH
_chemical_formula_sum 'Pr3 Te1 H1'
_space_group_name_H-M_alt 'P m -3 m'
_space_group_IT_number 221
_space_group_name_Hall '-P 4 2 3'
_cell_length_a 4.989
_cell_length_b 4.989
_cell_length_c 4.989
_cell_angle_alpha 90.00
_cell_angle_beta 90.00
_cell_angle_gamma 90.00
loop_
_atom_site_label
_atom_site_type_symbol
_atom_site_fract_x
_atom_site_fract_y
_atom_site_fract_z
Pr1 Pr 0.000 0.000 0.500
Te1 Te 0.500 0.500 0.500
H1 H 0.000 0.000 0.000
```

***

[8]
An optimized crystal structure of Pr3Te2H. Source: the Alexandria database, functional PBE.

## Properties
**Crystal system**: orthorhombic
**Density of states at the Fermi level**: 0.802 states/eV/atom

The structure in CIF format:
```
data_Pr3Te2H
_chemical_formula_sum 'Pr12 Te8 H4'
_space_group_name_H-M_alt 'C m c 21'
_space_group_IT_number 36
_space_group_name_Hall 'C 2c -2'
_cell_length_a 14.265
_cell_length_b 8.643
_cell_length_c 6.297
_cell_angle_alpha 90.00
_cell_angle_beta 90.00
_cell_angle_gamma 90.00
loop_
_atom_site_label
_atom_site_type_symbol
_atom_site_fract_x
_atom_site_fract_y
_atom_site_fract_z
Pr1 Pr 0.000 0.090 0.000
Pr2 Pr 0.141 0.280 0.494
Te1 Te 0.155 0.353 0.995
H1 H 0.000 0.169 0.631
```

***

[9]
An optimized crystal structure of Pr4Te3H. Source: the Alexandria database, functional PBE.

## Properties
**Crystal system**: orthorhombic
**Density of states at the Fermi level**: 0.835 states/eV/atom

The structure in CIF format:
```
data_Pr4Te3H
_chemical_formula_sum 'Pr8 Te6 H2'
_space_group_name_H-M_alt 'P m n 21'
_space_group_IT_number 31
_space_group_name_Hall 'P 2ac -2'
_cell_length_a 9.843
_cell_length_b 8.633
_cell_length_c 6.349
_cell_angle_alpha 90.00
_cell_angle_beta 90.00
_cell_angle_gamma 90.00
loop_
_atom_site_label
_atom_site_type_symbol
_atom_site_fract_x
_atom_site_fract_y
_atom_site_fract_z
Pr1 Pr 0.000 0.122 0.000
Pr2 Pr 0.000 0.871 0.500
Pr3 Pr 0.193 0.277 0.505
Te1 Te 0.000 0.765 0.000
Te2 Te 0.242 0.355 0.003
H1 H 0.000 0.138 0.375
```

***

[10]
An optimized crystal structure of Pr2Te3H. Source: the Alexandria database, functional PBE.

## Properties
**Crystal system**: orthorhombic
**Density of states at the Fermi level**: 0.529 states/eV/atom

The structure in CIF format:
```
data_Pr2Te3H
_chemical_formula_sum 'Pr8 Te12 H4'
_space_group_name_H-M_alt 'P n m a'
_space_group_IT_number 62
_space_group_name_Hall '-P 2ac 2n'
_cell_length_a 12.018
_cell_length_b 4.235
_cell_length_c 13.012
_cell_angle_alpha 90.00
_cell_angle_beta 90.00
_cell_angle_gamma 90.00
loop_
_atom_site_label
_atom_site_type_symbol
_atom_site_fract_x
_atom_site_fract_y
_atom_site_fract_z
Pr1 Pr 0.056 0.250 0.173
Pr2 Pr 0.199 0.250 0.515
Te1 Te 0.061 0.750 0.373
Te2 Te 0.118 0.250 0.932
Te3 Te 0.179 0.750 0.698
H1 H 0.138 0.750 0.121
```

***

[11]
An optimized crystal structure of Pr3Te3H. Source: the Alexandria database, functional PBE.

## Properties
**Crystal system**: monoclinic
**Density of states at the Fermi level**: 0.684 states/eV/atom

The structure in CIF format:
```
data_Pr3Te3H
_chemical_formula_sum 'Pr12 Te12 H4'
_space_group_name_H-M_alt 'C 1 2/m 1'
_space_group_IT_number 12
_space_group_name_Hall '-C 2y'
_cell_length_a 8.772
_cell_length_b 12.434
_cell_length_c 7.789
_cell_angle_alpha 90.00
_cell_angle_beta 101.55
_cell_angle_gamma 90.00
loop_
_atom_site_label
_atom_site_type_symbol
_atom_site_fract_x
_atom_site_fract_y
_atom_site_fract_z
Pr1 Pr 0.102 0.000 0.330
Pr2 Pr 0.200 0.349 0.197
Te1 Te 0.000 0.157 0.000
Te2 Te 0.000 0.230 0.500
Te3 Te 0.104 0.500 0.835
H1 H 0.176 0.000 0.650
```

***

[12]
An optimized crystal structure of Pr3Te2H2. Source: the Alexandria database, functional PBE.

## Properties
**Crystal system**: monoclinic
**Density of states at the Fermi level**: 0.607 states/eV/atom

The structure in CIF format:
```
data_Pr3Te2H2
_chemical_formula_sum 'Pr6 Te4 H4'
_space_group_name_H-M_alt 'C 1 2/m 1'
_space_group_IT_number 12
_space_group_name_Hall '-C 2y'
_cell_length_a 17.888
_cell_length_b 4.656
_cell_length_c 4.241
_cell_angle_alpha 90.00
_cell_angle_beta 103.66
_cell_angle_gamma 90.00
loop_
_atom_site_label
_atom_site_type_symbol
_atom_site_fract_x
_atom_site_fract_y
_atom_site_fract_z
Pr1 Pr 0.000 0.000 0.000
Pr2 Pr 0.126 0.500 0.625
Te1 Te 0.179 0.000 0.178
H1 H 0.000 0.257 0.500
```

***

Number 1: total DFT energy (no corrections) -74.6 eV per cell, total magnetization 0.00 μB/f.u.. Number 2: total DFT energy (no corrections) -99.8 eV per cell, total magnetization 0.00 μB/f.u.. Number 3: total DFT energy (no corrections) -178.5 eV per cell, total magnetization 0.00 μB/f.u.. Number 4: total DFT energy (no corrections) -80.9 eV per cell, total magnetization 0.00 μB/f.u.. Number 5: total DFT energy (no corrections) -27.5 eV per cell, total magnetization 0.00 μB/f.u.. Number 6: total DFT energy (no corrections) -107.3 eV per cell, total magnetization 0.00 μB/f.u.. Number 7: total DFT energy (no corrections) -23.8 eV per cell, total magnetization 0.00 μB/f.u.. Number 8: total DFT energy (no corrections) -116.9 eV per cell, total magnetization 0.00 μB/f.u.. Number 9: total DFT energy (no corrections) -78.9 eV per cell, total magnetization 0.27 μB/f.u.. Number 10: total DFT energy (no corrections) -116.3 eV per cell, total magnetization 0.00 μB/f.u.. Number 11: total DFT energy (no corrections) -140.8 eV per cell, total magnetization 0.00 μB/f.u.. Number 12: total DFT energy (no corrections) -68.7 eV per cell, total magnetization 0.00 μB/f.u..